The following is a DFT calculation (GGA-PBE) of a geometry-optimized Tm4Tl2PS structure.

Computed properties:
- Crystal system: monoclinic
- E_tot: -5.077 eV per atom

```
Tm4Tl2PS
1.0
-2.7161 -2.4744 1.0395
1.2379 -3.6143 -5.3690
4.8918 -2.9273 5.8140
Tm Tl P S
4 2 1 1
Direct
0.5000 0.2373 0.2029
0.5000 0.7627 0.7971
0.0000 0.2680 0.7986
0.0000 0.7320 0.2014
0.5000 0.0000 0.5000
0.0000 0.5000 0.5000
0.5000 0.5000 0.0000
0.0000 0.0000 0.0000
```